(1)
The following is a DFT calculation (PBE) of a geometry-optimized Cs2KBr structure.

abc: 10.9241 10.9241 11.4203
angles: 90.00 90.00 90.00
Space group I-42d (No. 122)
Asymmetric unit:
Cs (0.1514, 0.2500, 0.1250) (multiplicity 8)
K (0.0000, 0.0000, 0.5000) (multiplicity 4)
Br (0.0000, 0.0000, 0.0000) (multiplicity 4)

Energy relative to the elements, uncorrected in kJ/mol of formula units: -300

=====

(2)
The following is a DFT calculation (PBE) of a geometry-optimized CrNi2Ru structure.

abc: 2.5686 2.5686 25.2443
angles: 90.00 90.00 120.00
Space group R-3m (No. 166, hexagonal axes)
Asymmetric unit:
Cr (0.0000, 0.0000, 0.0000) (multiplicity 3)
Ni (0.0000, 0.0000, 0.2526) (multiplicity 6)
Ru (0.0000, 0.0000, 0.5000) (multiplicity 3)

E_form in eV/atom: 0.190

=====

(3)
The following is a DFT calculation (PBE) of a geometry-optimized Ca3ZrAl structure.

abc: 5.6598 5.6598 5.6598
angles: 90.00 90.00 90.00
Space group Pm-3m (No. 221)
Asymmetric unit:
Ca (0.0000, 0.0000, 0.5000) (multiplicity 3)
Zr (0.0000, 0.0000, 0.0000) (multiplicity 1)
Al (0.5000, 0.5000, 0.5000) (multiplicity 1)

E_form in eV/atom: 1.007

=====

(4)
The following is a DFT calculation (PBE) of a geometry-optimized Ti2P2Ru structure.

abc: 6.1069 6.1069 3.7024
angles: 90.00 90.00 90.00
Space group P4/mbm (No. 127)
Asymmetric unit:
Ti (0.1650, 0.3350, 0.0000) (multiplicity 4)
P (0.1357, 0.6357, 0.5000) (multiplicity 4)
Ru (0.0000, 0.0000, 0.5000) (multiplicity 2)

E_form in eV/atom: -0.951

=====

(5)
The following is a DFT calculation (PBE) of a geometry-optimized LiAsAu structure.

abc: 4.4398 4.4398 3.1612
angles: 90.00 90.00 120.00
Space group P-6m2 (No. 187)
Asymmetric unit:
Li (0.0000, 0.0000, 0.0000) (multiplicity 1)
As (0.6667, 0.3333, 0.5000) (multiplicity 1)
Au (0.3333, 0.6667, 0.5000) (multiplicity 1)

E_form in eV/atom: -0.397

=====

(6)
The following is a DFT calculation (PBE) of a geometry-optimized LiBeGa3 structure.

abc: 4.5197 4.5197 4.5197
angles: 90.00 90.00 90.00
Space group Pm-3m (No. 221)
Asymmetric unit:
Li (0.0000, 0.0000, 0.0000) (multiplicity 1)
Be (0.5000, 0.5000, 0.5000) (multiplicity 1)
Ga (0.0000, 0.5000, 0.5000) (multiplicity 3)

E_form in eV/atom: 0.157

=====

(7)
The following is a DFT calculation (PBE) of a geometry-optimized Na3Pb8 structure.

abc: 10.9676 4.8942 12.6728
angles: 90.00 104.01 90.00
Space group C2/m (No. 12)
Asymmetric unit:
Na (0.0000, 0.0000, 0.0000) (multiplicity 2)
Na (0.0956, 0.0000, 0.6416) (multiplicity 4)
Pb (0.0455, 0.5000, 0.8183) (multiplicity 4)
Pb (0.1388, 0.5000, 0.4567) (multiplicity 4)
Pb (0.1764, 0.0000, 0.2746) (multiplicity 4)
Pb (0.2231, 0.5000, 0.0841) (multiplicity 4)

E_form in eV/atom: -0.110

=====

(8)
The following is a DFT calculation (PBE) of a geometry-optimized Mn2TlZnCu structure.

abc: 4.7157 4.7157 4.5708
angles: 90.00 90.00 90.00
Space group P4/mmm (No. 123)
Asymmetric unit:
Mn (0.0000, 0.5000, 0.0000) (multiplicity 2)
Tl (0.0000, 0.0000, 0.5000) (multiplicity 1)
Zn (0.5000, 0.5000, 0.5000) (multiplicity 1)
Cu (0.5000, 0.5000, 0.0000) (multiplicity 1)

E_form in eV/atom: 0.621

=====

(9)
The following is a DFT calculation (PBE) of a geometry-optimized AcPrMg4 structure.

abc: 8.8501 8.8501 8.8501
angles: 90.00 90.00 90.00
Space group F-43m (No. 216)
Asymmetric unit:
Ac (0.0000, 0.0000, 0.0000) (multiplicity 4)
Pr (0.2500, 0.2500, 0.7500) (multiplicity 4)
Mg (0.1242, 0.1242, 0.3758) (multiplicity 16)

E_form in eV/atom: -0.118

=====

(10)
The following is a DFT calculation (PBE) of a geometry-optimized YZrAu2 structure.

abc: 3.4345 3.4345 27.4475
angles: 90.00 90.00 120.00
Space group R3m (No. 160, hexagonal axes)
Asymmetric unit:
Y (0.0000, 0.0000, 0.0000) (multiplicity 3)
Zr (0.0000, 0.0000, 0.7638) (multiplicity 3)
Au (0.0000, 0.0000, 0.2519) (multiplicity 3)
Au (0.0000, 0.0000, 0.5064) (multiplicity 3)

E_form in eV/atom: -0.220

=====

(11)
The following is a DFT calculation (PBE) of a geometry-optimized Pr2IN2 structure.

abc: 15.6365 4.2516 6.7874
angles: 90.00 100.33 90.00
Space group C2/c (No. 15)
Asymmetric unit:
Pr (0.1668, 0.1810, 0.1481) (multiplicity 8)
I (0.0000, 0.2706, 0.7500) (multiplicity 4)
N (0.2197, 0.3565, 0.5272) (multiplicity 8)

Energy relative to the elements, uncorrected in kJ/mol of formula units: -475

=====

(12)
The following is a DFT calculation (PBE) of a geometry-optimized GaHg2H structure.

abc: 6.7823 6.7823 6.7823
angles: 90.00 90.00 90.00
Space group Fm-3m (No. 225)
Asymmetric unit:
Ga (0.0000, 0.0000, 0.0000) (multiplicity 4)
Hg (0.2500, 0.2500, 0.2500) (multiplicity 8)
H (0.0000, 0.0000, 0.5000) (multiplicity 4)

=====

Number 1: total DFT energy (no corrections) -30.34 eV for the cell shown. Number 2: total DFT energy (no corrections) -89.10 eV for the cell shown. Number 3: total DFT energy (no corrections) -13.26 eV for the cell shown. Number 4: total DFT energy (no corrections) -81.28 eV for the cell shown. Number 5: total DFT energy (no corrections) -11.03 eV for the cell shown. Number 6: total DFT energy (no corrections) -13.93 eV for the cell shown. Number 7: total DFT energy (no corrections) -69.68 eV for the cell shown. Number 8: total DFT energy (no corrections) -22.97 eV for the cell shown. Number 9: total DFT energy (no corrections) -63.89 eV for the cell shown. Number 10: total DFT energy (no corrections) -67.34 eV for the cell shown. Number 11: total DFT energy (no corrections) -130.72 eV for the cell shown. Number 12: total DFT energy (no corrections) -20.45 eV for the cell shown.